! NpH6PtRh (GGA-PBE, relaxed); values from VASP
&SYSTEM
  ibrav = 0, nat = 9, ntyp = 4
/
ATOMIC_SPECIES
Np 237.00 Np.upf
H 1.01 H.upf
Pt 195.08 Pt.upf
Rh 102.91 Rh.upf
CELL_PARAMETERS angstrom
4.7648 0.0000 0.0000
-2.3824 4.1265 0.0000
0.0000 0.0000 4.1247
ATOMIC_POSITIONS angstrom
Np 0.0000 0.0000 0.0000
H -1.1661 2.0778 0.9133
H -1.1661 2.0778 3.2114
H 1.1661 2.0778 0.9133
H 1.1661 2.0778 3.2114
H 0.0000 4.0974 0.9133
H 0.0000 4.0974 3.2114
Pt 2.3824 1.3755 2.0624
Rh 0.0000 2.7510 2.0624
! Total magnetic moment, μB per cell: 3.56
! Volume, Å³/cell: 81
! DFT total energy, eV/atom: -5.275